Compound: MnCo2Ir
Source: Alexandria
Functional: GGA-PBE
Structure: relaxed

a = 4.440 Å, b = 4.440 Å, c = 4.440 Å
α = 132.02°, β = 132.02°, γ = 70.20°
Element x y z (fractional)
Mn 0.000 0.000 0.000
Co 0.250 0.750 0.500
Co 0.750 0.250 0.500
Ir 0.500 0.500 0.000

The calculation puts the calculated formation energy at -0.1 eV/f.u. The density of states at the Fermi level is 5.12 states/eV/f.u. As for the magnetization: 2.30 μB/cell.